No. 1
Here is an optimized crystal structure of SrTiGeP2 from the Alexandria database. Energies are from PBE.

It has space group P4/mmm (No. 123), with a = 4.7071 Å, b = 4.7071 Å, c = 5.9568 Å, α = 90.00°, β = 90.00° and γ = 90.00°. Symmetry generates all atoms from Sr at (0.0000, 0.0000, 0.0000), Ti at (0.0000, 0.0000, 0.5000), Ge at (0.5000, 0.5000, 0.0000) and P at (0.0000, 0.5000, 0.5000).

The value obtained for the formation energy from the elements is 6.582 kcal/mol of atoms. As for the crystal system: tetragonal. The calculation puts the size of the total moment at 1.14 μB per formula unit. Its uncorrected energy is -23.59 eV for the cell shown.

No. 2
Here is an optimized crystal structure of TaGeP from the Alexandria database. Energies are from PBE.

It has space group Cmc2_1 (No. 36), with a = 3.2812 Å, b = 11.6290 Å, c = 5.5113 Å, α = 90.00°, β = 90.00° and γ = 90.00°. Symmetry generates all atoms from Ta at (0.0000, 0.0754, 0.0000), Ge at (0.0000, 0.2968, 0.1897) and P at (0.0000, 0.4264, 0.8451).

The value obtained for the formation energy from the elements is -7.742 kcal/mol of atoms. As for the crystal system: orthorhombic. The calculation puts the size of the total moment at 0.00 μB per formula unit. Its uncorrected energy is -91.55 eV for the cell shown.

No. 3
Here is an optimized crystal structure of TaGeP from the Alexandria database. Energies are from PBE.

It has space group C2/m (No. 12), with a = 8.7767 Å, b = 3.4174 Å, c = 7.0474 Å, α = 90.00°, β = 90.06° and γ = 90.00°. Symmetry generates all atoms from Ta at (0.2237, 0.0000, 0.1718), Ge at (0.1405, 0.5000, 0.4604) and P at (0.0695, 0.0000, 0.8532).

The value obtained for the formation energy from the elements is -7.360 kcal/mol of atoms. As for the crystal system: monoclinic. The calculation puts the size of the total moment at 0.00 μB per formula unit. Its uncorrected energy is -91.35 eV for the cell shown.

No. 4
Here is an optimized crystal structure of Ta2GeP2 from the Alexandria database. Energies are from PBE.

It has space group P4/mbm (No. 127), with a = 7.1251 Å, b = 7.1251 Å, c = 3.1976 Å, α = 90.00°, β = 90.00° and γ = 90.00°. Symmetry generates all atoms from Ta at (0.1507, 0.3493, 0.0000), Ge at (0.0000, 0.0000, 0.0000) and P at (0.1375, 0.6375, 0.5000).

The value obtained for the formation energy from the elements is -9.645 kcal/mol of atoms. As for the crystal system: tetragonal. The calculation puts the size of the total moment at 0.00 μB per formula unit. The distance to the lowest polymorph of the same formula is 0.00 eV/f.u. Its uncorrected energy is -82.47 eV for the cell shown.

No. 5
Here is an optimized crystal structure of TaGeP from the Alexandria database. Energies are from PBE.

It has space group C2/m (No. 12), with a = 8.8906 Å, b = 3.3146 Å, c = 6.8000 Å, α = 90.00°, β = 112.43° and γ = 90.00°. Symmetry generates all atoms from Ta at (0.0061, 0.0000, 0.2725), Ge at (0.1626, 0.5000, 0.0786) and P at (0.1628, 0.5000, 0.5879).

The value obtained for the formation energy from the elements is -8.506 kcal/mol of atoms. As for the crystal system: monoclinic. The calculation puts the size of the total moment at 0.00 μB per formula unit. Its uncorrected energy is -91.95 eV for the cell shown.

No. 6
Here is an optimized crystal structure of Ta4Ge2P from the Alexandria database. Energies are from PBE.

It has space group I4/mmm (No. 139), with a = 4.4642 Å, b = 4.4642 Å, c = 13.6480 Å, α = 90.00°, β = 90.00° and γ = 90.00°. Symmetry generates all atoms from Ta at (0.0000, 0.0000, 0.1764), Ta at (0.0000, 0.5000, 0.0000), Ge at (0.0000, 0.0000, 0.3655) and P at (0.0000, 0.0000, 0.0000).

The value obtained for the formation energy from the elements is 10.685 kcal/mol of atoms. As for the crystal system: tetragonal. The calculation puts the size of the total moment at 0.00 μB per formula unit. Its uncorrected energy is -117.62 eV for the cell shown.

No. 7
Here is an optimized crystal structure of TaGeP3 from the Alexandria database. Energies are from PBE.

It has space group Pm-3m (No. 221), with a = 4.5506 Å, b = 4.5506 Å, c = 4.5506 Å, α = 90.00°, β = 90.00° and γ = 90.00°. Symmetry generates all atoms from Ta at (0.0000, 0.0000, 0.0000), Ge at (0.5000, 0.5000, 0.5000) and P at (0.0000, 0.5000, 0.5000).

The value obtained for the formation energy from the elements is 27.652 kcal/mol of atoms. As for the crystal system: cubic. The calculation puts the size of the total moment at 0.00 μB per formula unit. The distance to the lowest polymorph of the same formula is 3.52 eV/f.u. Its uncorrected energy is -26.70 eV for the cell shown.

No. 8
Here is an optimized crystal structure of Ta2Ge2P from the Alexandria database. Energies are from PBE.

It has space group P4/mbm (No. 127), with a = 6.8305 Å, b = 6.8305 Å, c = 3.6679 Å, α = 90.00°, β = 90.00° and γ = 90.00°. Symmetry generates all atoms from Ta at (0.1622, 0.3378, 0.0000), Ge at (0.1374, 0.6374, 0.5000) and P at (0.0000, 0.0000, 0.0000).

The value obtained for the formation energy from the elements is -3.582 kcal/mol of atoms. As for the crystal system: tetragonal. The calculation puts the size of the total moment at 0.00 μB per formula unit. Its uncorrected energy is -78.25 eV for the cell shown.

No. 9
Here is an optimized crystal structure of TaGeP3 from the Alexandria database. Energies are from PBE.

It has space group Pm-3m (No. 221), with a = 4.8234 Å, b = 4.8234 Å, c = 4.8234 Å, α = 90.00°, β = 90.00° and γ = 90.00°. Symmetry generates all atoms from Ta at (0.0000, 0.0000, 0.0000), Ge at (0.5000, 0.5000, 0.5000) and P at (0.0000, 0.0000, 0.5000).

The value obtained for the formation energy from the elements is 11.406 kcal/mol of atoms. As for the crystal system: cubic. The calculation puts the size of the total moment at 0.00 μB per formula unit. The distance to the lowest polymorph of the same formula is 0.00 eV/f.u. Its uncorrected energy is -30.23 eV for the cell shown.

No. 10
Here is an optimized crystal structure of Ta2GeP2 from the Alexandria database. Energies are from PBE.

It has space group I4/mmm (No. 139), with a = 3.4759 Å, b = 3.4759 Å, c = 13.2653 Å, α = 90.00°, β = 90.00° and γ = 90.00°. Symmetry generates all atoms from Ta at (0.0000, 0.0000, 0.1102), Ge at (0.0000, 0.0000, 0.5000) and P at (0.0000, 0.5000, 0.2500).

The value obtained for the formation energy from the elements is -6.331 kcal/mol of atoms. As for the crystal system: tetragonal. The calculation puts the size of the total moment at 0.00 μB per formula unit. The distance to the lowest polymorph of the same formula is 0.72 eV/f.u. Its uncorrected energy is -81.03 eV for the cell shown.

No. 11
Here is an optimized crystal structure of TaGeP2 from the Alexandria database. Energies are from PBE.

It has space group I-42d (No. 122), with a = 5.7552 Å, b = 5.7552 Å, c = 10.6607 Å, α = 90.00°, β = 90.00° and γ = 90.00°. Symmetry generates all atoms from Ta at (0.0000, 0.0000, 0.0000), Ge at (0.0000, 0.0000, 0.5000) and P at (0.2487, 0.2500, 0.1250).

The value obtained for the formation energy from the elements is 2.596 kcal/mol of atoms. As for the crystal system: tetragonal. The calculation puts the size of the total moment at 0.00 μB per formula unit. Its uncorrected energy is -107.36 eV for the cell shown.

No. 12
Here is an optimized crystal structure of TaGeP from the Alexandria database. Energies are from PBE.

It has space group Fmm2 (No. 42), with a = 4.6819 Å, b = 4.7080 Å, c = 8.4387 Å, α = 90.00°, β = 90.00° and γ = 90.00°. Symmetry generates all atoms from Ta at (0.0000, 0.0000, 0.0000), Ge at (0.0000, 0.0000, 0.3218) and P at (0.0000, 0.0000, 0.6427).

The value obtained for the formation energy from the elements is -8.240 kcal/mol of atoms. As for the crystal system: orthorhombic. The calculation puts the size of the total moment at 0.00 μB per formula unit. Its uncorrected energy is -91.81 eV for the cell shown.

No. 13
Here is an optimized crystal structure of TaGeP from the Alexandria database. Energies are from PBE.

It has space group C2/m (No. 12), with a = 8.8435 Å, b = 3.3962 Å, c = 7.0572 Å, α = 90.00°, β = 110.22° and γ = 90.00°. Symmetry generates all atoms from Ta at (0.1748, 0.0000, 0.1567), Ge at (0.1508, 0.0000, 0.5401) and P at (0.0453, 0.5000, 0.8517).

The value obtained for the formation energy from the elements is -9.752 kcal/mol of atoms. As for the crystal system: monoclinic. The calculation puts the size of the total moment at 0.00 μB per formula unit. Its uncorrected energy is -92.59 eV for the cell shown.

No. 14
Here is an optimized crystal structure of TaVGeP2 from the Alexandria database. Energies are from PBE.

It has space group P4/mmm (No. 123), with a = 4.3402 Å, b = 4.3402 Å, c = 5.0161 Å, α = 90.00°, β = 90.00° and γ = 90.00°. Symmetry generates all atoms from Ta at (0.0000, 0.0000, 0.0000), V at (0.0000, 0.0000, 0.5000), Ge at (0.5000, 0.5000, 0.0000) and P at (0.0000, 0.5000, 0.5000).

The value obtained for the formation energy from the elements is 14.338 kcal/mol of atoms. As for the crystal system: tetragonal. The calculation puts the size of the total moment at 0.00 μB per formula unit. Its uncorrected energy is -33.30 eV for the cell shown.

No. 15
Here is an optimized crystal structure of Tb5GeP4 from the Alexandria database. Energies are from PBE.

It has space group I4/m (No. 87), with a = 9.0605 Å, b = 9.0605 Å, c = 5.7264 Å, α = 90.00°, β = 90.00° and γ = 90.00°. Symmetry generates all atoms from Tb at (0.0000, 0.0000, 0.0000), Tb at (0.1037, 0.3072, 0.5000), Ge at (0.0000, 0.0000, 0.5000) and P at (0.1007, 0.3003, 0.0000).

The value obtained for the formation energy from the elements is -32.379 kcal/mol of atoms. As for the crystal system: tetragonal. The calculation puts the size of the total moment at 0.00 μB per formula unit. Its uncorrected energy is -126.90 eV for the cell shown.

No. 16
Here is an optimized crystal structure of Tb6GeP4 from the Alexandria database. Energies are from PBE.

It has space group Cmcm (No. 63), with a = 4.0342 Å, b = 13.2199 Å, c = 20.2172 Å, α = 90.00°, β = 90.00° and γ = 90.00°. Symmetry generates all atoms from Tb at (0.0000, 0.0000, 0.0000), Tb at (0.0000, 0.1825, 0.2500), Tb at (0.0000, 0.2730, 0.5828), Tb at (0.0000, 0.4561, 0.1626), Ge at (0.0000, 0.1596, 0.7500), P at (0.0000, 0.0917, 0.1272) and P at (0.0000, 0.3627, 0.0424).

The value obtained for the formation energy from the elements is -31.510 kcal/mol of atoms. As for the crystal system: orthorhombic. The calculation puts the size of the total moment at 0.73 μB per formula unit. Its uncorrected energy is -276.27 eV for the cell shown.

No. 17
Here is an optimized crystal structure of Tb4GeP3 from the Alexandria database. Energies are from PBE.

It has space group Pm-3m (No. 221), with a = 5.7419 Å, b = 5.7419 Å, c = 5.7419 Å, α = 90.00°, β = 90.00° and γ = 90.00°. Symmetry generates all atoms from Tb at (0.0000, 0.0000, 0.0000), Tb at (0.0000, 0.5000, 0.5000), Ge at (0.5000, 0.5000, 0.5000) and P at (0.0000, 0.0000, 0.5000).

The value obtained for the formation energy from the elements is -31.100 kcal/mol of atoms. As for the crystal system: cubic. The calculation puts the size of the total moment at 0.00 μB per formula unit. Its uncorrected energy is -50.16 eV for the cell shown.

No. 18
Here is an optimized crystal structure of TbGeP from the Alexandria database. Energies are from PBE.

It has space group I4/mmm (No. 139), with a = 3.9102 Å, b = 3.9102 Å, c = 20.5957 Å, α = 90.00°, β = 90.00° and γ = 90.00°. Symmetry generates all atoms from Tb at (0.0000, 0.0000, 0.1752), Ge at (0.0000, 0.0000, 0.4258) and P at (0.0000, 0.0000, 0.3102).

The value obtained for the formation energy from the elements is -14.664 kcal/mol of atoms. As for the crystal system: tetragonal. The calculation puts the size of the total moment at 0.00 μB per formula unit. Its uncorrected energy is -66.26 eV for the cell shown.

No. 19
Here is an optimized crystal structure of Tb8GeTe4P3 from the Alexandria database. Energies are from PBE.

It has space group R-3m (No. 166, hexagonal axes), with a = 8.3347 Å, b = 8.3347 Å, c = 21.2583 Å, α = 90.00°, β = 90.00° and γ = 120.00°. Symmetry generates all atoms from Tb at (0.0000, 0.0000, 0.2370), Tb at (0.0025, 0.5013, 0.7617), Ge at (0.0000, 0.0000, 0.5000), Te at (0.0000, 0.0000, 0.0000), Te at (0.0000, 0.5000, 0.0000) and P at (0.0000, 0.5000, 0.5000).

As for the crystal system: trigonal. The value obtained for the uncorrected formation energy is -1.4781 eV per atom. The calculation puts the size of the total moment at 0.00 μB per formula unit. Its uncorrected energy is -282.32 eV for the cell shown.

No. 20
Here is an optimized crystal structure of Tb8Ge3Te3P from the Alexandria database. Energies are from PBE.

It has space group R-3m (No. 166, hexagonal axes), with a = 8.4123 Å, b = 8.4123 Å, c = 21.1686 Å, α = 90.00°, β = 90.00° and γ = 120.00°. Symmetry generates all atoms from Tb at (0.0000, 0.0000, 0.2405), Tb at (0.0037, 0.5019, 0.2390), Ge at (0.0000, 0.5000, 0.5000), Te at (0.0000, 0.5000, 0.0000) and P at (0.0000, 0.0000, 0.5000).

As for the crystal system: trigonal. The value obtained for the uncorrected formation energy is -1.1282 eV per atom. The calculation puts the size of the total moment at 0.79 μB per formula unit. Its uncorrected energy is -247.96 eV for the cell shown.